# 1
## Nd2Cu2Cl (PBE-GGA)

Data for an optimized crystal structure of Nd2Cu2Cl.

Total magnetization ... 0.000 μB/atom
SG ... C2/m (12)
D(E_F) ... 0.9115 states/eV/atom
Uncorrected formation energy ... -716 meV/atom
V ... 117.1 Å³/cell
Raw total energy ... -4.631 eV per atom

Cell and atoms, written as CIF:
```
data_Nd2Cu2Cl
_chemical_formula_sum 'Nd2 Cu2 Cl1'
_cell_length_a 4.202
_cell_length_b 4.202
_cell_length_c 8.084
_cell_angle_alpha 90.00
_cell_angle_beta 104.67
_cell_angle_gamma 120.86
_space_group_name_H-M_alt 'P 1'
_space_group_IT_number 1
_space_group_name_Hall 'P 1'
loop_
_atom_site_label
_atom_site_type_symbol
_atom_site_fract_x
_atom_site_fract_y
_atom_site_fract_z
Nd1 Nd 0.844 0.419 0.263
Nd2 Nd 0.156 0.581 0.737
Cu1 Cu 0.664 0.834 0.498
Cu2 Cu 0.336 0.166 0.502
Cl1 Cl 0.000 0.000 0.000
```

# 2
## NdCuCl (PBE-GGA)

Data for an optimized crystal structure of NdCuCl.

Total magnetization ... 0.000 μB/atom
SG ... C2/m (12)
D(E_F) ... 0.2925 states/eV/atom
Uncorrected formation energy ... -1104 meV/atom
V ... 157.8 Å³/cell
Raw total energy ... -4.674 eV per atom

Cell and atoms, written as CIF:
```
data_NdCuCl
_chemical_formula_sum 'Nd2 Cu2 Cl2'
_cell_length_a 4.119
_cell_length_b 4.119
_cell_length_c 10.837
_cell_angle_alpha 98.69
_cell_angle_beta 98.69
_cell_angle_gamma 60.66
_space_group_name_H-M_alt 'P 1'
_space_group_IT_number 1
_space_group_name_Hall 'P 1'
loop_
_atom_site_label
_atom_site_type_symbol
_atom_site_fract_x
_atom_site_fract_y
_atom_site_fract_z
Cu1 Cu 0.666 0.666 0.498
Cu2 Cu 0.334 0.334 0.502
Nd1 Nd 0.079 0.079 0.684
Nd2 Nd 0.921 0.921 0.316
Cl1 Cl 0.791 0.791 0.846
Cl2 Cl 0.209 0.209 0.154
```

# 3
## NdCuCl6 (PBE-GGA)

Data for an optimized crystal structure of NdCuCl6.

Total magnetization ... 0.000 μB/atom
SG ... P-1 (2)
Uncorrected formation energy ... -1177 meV/atom
V ... 246.9 Å³/cell
Raw total energy ... -3.670 eV per atom

Cell and atoms, written as CIF:
```
data_NdCuCl6
_chemical_formula_sum 'Nd1 Cu1 Cl6'
_cell_length_a 8.111
_cell_length_b 8.695
_cell_length_c 6.849
_cell_angle_alpha 58.79
_cell_angle_beta 56.85
_cell_angle_gamma 38.31
_space_group_name_H-M_alt 'P 1'
_space_group_IT_number 1
_space_group_name_Hall 'P 1'
loop_
_atom_site_label
_atom_site_type_symbol
_atom_site_fract_x
_atom_site_fract_y
_atom_site_fract_z
Cl1 Cl 0.219 0.942 0.165
Cl2 Cl 0.393 0.777 0.725
Cl3 Cl 0.781 0.058 0.835
Cl4 Cl 0.607 0.223 0.275
Cl5 Cl 0.120 0.492 0.697
Cl6 Cl 0.880 0.508 0.303
Cu1 Cu 0.000 0.000 0.000
Nd1 Nd 0.500 0.500 0.500
```

# 4
## Nd6CuCl8 (PBE-GGA)

Data for an optimized crystal structure of Nd6CuCl8.

Total magnetization ... 0.000 μB/atom
SG ... R-3 (148)
D(E_F) ... 0.3970 states/eV/atom
Uncorrected formation energy ... -1610 meV/atom
V ... 439.9 Å³/cell
Raw total energy ... -4.775 eV per atom

Cell and atoms, written as CIF:
```
data_Nd6CuCl8
_chemical_formula_sum 'Nd6 Cu1 Cl8'
_cell_length_a 7.030
_cell_length_b 7.030
_cell_length_c 11.051
_cell_angle_alpha 71.45
_cell_angle_beta 71.45
_cell_angle_gamma 60.00
_space_group_name_H-M_alt 'P 1'
_space_group_IT_number 1
_space_group_name_Hall 'P 1'
loop_
_atom_site_label
_atom_site_type_symbol
_atom_site_fract_x
_atom_site_fract_y
_atom_site_fract_z
Cl1 Cl 0.442 0.109 0.674
Cl2 Cl 0.333 0.333 0.000
Cl3 Cl 0.109 0.775 0.674
Cl4 Cl 0.558 0.891 0.326
Cl5 Cl 0.775 0.442 0.674
Cl6 Cl 0.667 0.667 0.000
Cl7 Cl 0.891 0.225 0.326
Cl8 Cl 0.225 0.558 0.326
Nd1 Nd 0.267 0.946 0.162
Nd2 Nd 0.054 0.375 0.838
Nd3 Nd 0.375 0.733 0.838
Nd4 Nd 0.946 0.625 0.162
Nd5 Nd 0.625 0.267 0.162
Nd6 Nd 0.733 0.054 0.838
Cu1 Cu 0.000 0.000 0.000
```